--- 1 ---
# LaHo3In2

LaHo3In2 after structural relaxation (PBE, Alexandria via LeMat-Bulk).

Crystal system = orthorhombic

a b c (Å): 5.238 9.974 6.741
angles (deg): 90.00 90.00 90.00
Space group Pmc2_1 (No. 26)
One atom of each set of equivalent atoms:
La (0.000, 0.039, 0.000) x2
Ho (0.000, 0.323, 0.635) x2
Ho (0.500, 0.191, 0.274) x2
Ho (0.500, 0.458, 0.918) x2
In (0.000, 0.363, 0.165) x2
In (0.500, 0.147, 0.741) x2



--- 2 ---
# LaHo3In2

LaHo3In2 after structural relaxation (PBE, Alexandria via LeMat-Bulk).

Crystal system = monoclinic

a b c (Å): 16.379 5.410 9.228
angles (deg): 90.00 118.74 90.00
Space group C2/m (No. 12)
One atom of each set of equivalent atoms:
La (0.132, 0.000, 0.173) x4
Ho (0.061, 0.000, 0.714) x4
Ho (0.115, 0.500, 0.541) x4
Ho (0.193, 0.500, 0.991) x4
In (0.016, 0.500, 0.167) x4
In (0.226, 0.000, 0.596) x4



Quick one: most stable of them? 1